No. 1
# PBE-GGA In2PW, optimized geometry
# Energy of formation = 844 meV per atom
data_In2PW
_chemical_formula_sum 'In2 P1 W1'
_space_group_name_H-M_alt 'P 4/m m m'
_space_group_IT_number 123
_space_group_name_Hall '-P 4 2'
_cell_length_a 4.217
_cell_length_b 4.217
_cell_length_c 4.299
_cell_angle_alpha 90.00
_cell_angle_beta 90.00
_cell_angle_gamma 90.00
loop_
_atom_site_label
_atom_site_fract_x
_atom_site_fract_y
_atom_site_fract_z
In1 0.000 0.500 0.000
P1 0.000 0.000 0.500
W1 0.500 0.500 0.500

No. 2
# PBE-GGA P2PdClF, optimized geometry
# ΔE to the lowest computed polymorph = 172 meV per atom
# E_form (uncorrected) = 3.01 eV/f.u.
data_P2PdClF
_chemical_formula_sum 'P2 Pd1 Cl1 F1'
_space_group_name_H-M_alt 'P 4/m m m'
_space_group_IT_number 123
_space_group_name_Hall '-P 4 2'
_cell_length_a 4.097
_cell_length_b 4.097
_cell_length_c 5.185
_cell_angle_alpha 90.00
_cell_angle_beta 90.00
_cell_angle_gamma 90.00
loop_
_atom_site_label
_atom_site_fract_x
_atom_site_fract_y
_atom_site_fract_z
P1 0.000 0.500 0.000
Pd1 0.000 0.000 0.500
Cl1 0.500 0.500 0.500
F1 0.500 0.500 0.000

No. 3
# PBE-GGA Ho2HfPd, optimized geometry
# Energy of formation = -353 meV per atom
data_Ho2HfPd
_chemical_formula_sum 'Ho2 Hf1 Pd1'
_space_group_name_H-M_alt 'P 4/m m m'
_space_group_IT_number 123
_space_group_name_Hall '-P 4 2'
_cell_length_a 3.473
_cell_length_b 3.473
_cell_length_c 7.857
_cell_angle_alpha 90.00
_cell_angle_beta 90.00
_cell_angle_gamma 90.00
loop_
_atom_site_label
_atom_site_fract_x
_atom_site_fract_y
_atom_site_fract_z
Ho1 0.000 0.000 0.220
Hf1 0.500 0.500 0.500
Pd1 0.500 0.500 0.000

No. 4
# PBE-GGA MgSeS, optimized geometry
# E_form (uncorrected) = -2.34 eV/f.u.
data_MgSeS
_chemical_formula_sum 'Mg2 Se2 S2'
_space_group_name_H-M_alt 'P -1'
_space_group_IT_number 2
_cell_length_a 4.072
_cell_length_b 5.330
_cell_length_c 6.744
_cell_angle_alpha 108.26
_cell_angle_beta 90.08
_cell_angle_gamma 90.03
loop_
_space_group_symop_operation_xyz
'x,y,z'
'-x,-y,-z'
loop_
_atom_site_label
_atom_site_fract_x
_atom_site_fract_y
_atom_site_fract_z
Mg1 0.250 0.229 0.236
Se1 0.249 0.401 0.667
S1 0.250 0.090 0.832

No. 5
# PBE-GGA Tm3NbRu4, optimized geometry
# Energy of formation = -437 meV per atom
data_Tm3NbRu4
_chemical_formula_sum 'Tm3 Nb1 Ru4'
_space_group_name_H-M_alt 'P 4/m m m'
_space_group_IT_number 123
_space_group_name_Hall '-P 4 2'
_cell_length_a 3.286
_cell_length_b 3.286
_cell_length_c 13.428
_cell_angle_alpha 90.00
_cell_angle_beta 90.00
_cell_angle_gamma 90.00
loop_
_atom_site_label
_atom_site_fract_x
_atom_site_fract_y
_atom_site_fract_z
Tm1 0.000 0.000 0.000
Tm2 0.000 0.000 0.250
Nb1 0.000 0.000 0.500
Ru1 0.500 0.500 0.128
Ru2 0.500 0.500 0.389

No. 6
# PBE-GGA Ce2PaMoN6, optimized geometry
# E_form (uncorrected) = -10.76 eV/f.u.
data_Ce2PaMoN6
_chemical_formula_sum 'Ce2 Pa1 Mo1 N6'
_space_group_name_H-M_alt 'P 4 m m'
_space_group_IT_number 99
_cell_length_a 5.530
_cell_length_b 5.530
_cell_length_c 5.131
_cell_angle_alpha 90.00
_cell_angle_beta 90.00
_cell_angle_gamma 90.00
loop_
_space_group_symop_operation_xyz
'x,y,z'
'-y,x,z'
'-x,-y,z'
'y,-x,z'
'-x,y,z'
'y,x,z'
'x,-y,z'
'-y,-x,z'
loop_
_atom_site_label
_atom_site_fract_x
_atom_site_fract_y
_atom_site_fract_z
Ce1 0.000 0.500 0.000
Pa1 0.000 0.000 0.572
Mo1 0.500 0.500 0.602
N1 0.000 0.000 0.154
N2 0.260 0.260 0.743
N3 0.500 0.500 0.250